[1]
Y4Er2Tm5 after structural relaxation, computed with GGA-PBE.

Calculated values
Excess energy over the best structure of this formula in the dataset = 0.0 meV per atom
DFT formation energy = 103 meV/atom

a b c (Å): 8.5910 8.5910 9.1571
angles (deg): 121.77 121.77 38.04
Closest atoms and distances in Å follow each position.
Positions (direct):
Y1 0.0475 0.0475 0.3057  3 Tm 3.15-3.52, 2 Y 3.38, 2 Er 3.47
Y2 0.3160 0.3160 0.5132  5 Y 3.38-3.66, 5 Tm 3.43-3.74, 2 Er 3.52-3.78
Y3 0.6840 0.6840 0.4868  5 Y 3.38-3.66, 5 Tm 3.43-3.74, 2 Er 3.52-3.78
Y4 0.9525 0.9525 0.6943  3 Tm 3.15-3.52, 2 Y 3.38, 2 Er 3.47
Er1 0.4045 0.4045 0.2393  7 Tm 3.32-3.70, 3 Y 3.47-3.52
Er2 0.5955 0.5955 0.7607  7 Tm 3.32-3.70, 3 Y 3.47-3.52
Tm1 0.1561 0.1561 0.0638  3 Y 3.15-3.52, 3 Tm 3.32-3.42, 1 Er 3.41
Tm2 0.2161 0.2161 0.7601  3 Tm 3.32-3.42, 3 Er 3.42-3.70, 4 Y 3.44-3.59
Tm3 0.5000 0.5000 0.0000  2 Er 3.32, 4 Tm 3.60
Tm4 0.7839 0.7839 0.2399  3 Tm 3.32-3.42, 3 Er 3.42-3.70, 4 Y 3.44-3.59
Tm5 0.8439 0.8439 0.9362  3 Y 3.15-3.52, 3 Tm 3.32-3.42, 1 Er 3.41


[2]
SrY2Sc after structural relaxation, computed with GGA-PBE.

Calculated values
Excess energy over the best structure of this formula in the dataset = 54.9 meV per atom
DFT formation energy = 164 meV/atom

a b c (Å): 3.6339 3.6339 35.4937
angles (deg): 90.00 90.00 120.00
Closest atoms and distances in Å follow each position.
Positions (direct):
Sr1 0.0000 0.0000 0.0000  6 Sr 3.63, 6 Y 3.89-3.92
Sr2 0.3333 0.6667 0.6667  6 Sr 3.63, 6 Y 3.89-3.92
Sr3 0.6667 0.3333 0.3333  6 Sr 3.63, 6 Y 3.89-3.92
Y1 0.0000 0.0000 0.2412  3 Sc 3.35, 6 Y 3.63
Y2 0.0000 0.0000 0.4267  3 Sc 3.37, 6 Y 3.63
Y3 0.3333 0.6667 0.0933  3 Sc 3.37, 6 Y 3.63
Y4 0.3333 0.6667 0.9079  3 Sc 3.35, 6 Y 3.63
Y5 0.6667 0.3333 0.5745  3 Sc 3.35, 6 Y 3.63
Y6 0.6667 0.3333 0.7600  3 Sc 3.37, 6 Y 3.63
Sc1 0.0000 0.0000 0.8342  6 Y 3.35-3.37, 6 Sc 3.63
Sc2 0.3333 0.6667 0.5009  6 Y 3.35-3.37, 6 Sc 3.63
Sc3 0.6667 0.3333 0.1675  6 Y 3.35-3.37, 6 Sc 3.63


[3]
AcB2PtO6 after structural relaxation, computed with GGA-PBE.

Calculated values
Formation energy without anion corrections = -2106 meV/atom

a b c (Å): 6.4303 6.4303 6.4303
angles (deg): 46.14 46.14 46.14
Closest atoms and distances in Å follow each position.
Positions (direct):
Ac1 0.0000 0.0000 0.0000  6 O 2.55
B1 0.2366 0.2366 0.2366  3 O 1.39
B2 0.7634 0.7634 0.7634  3 O 1.39
Pt1 0.5000 0.5000 0.5000  6 O 2.14
O1 0.0519 0.7158 0.5069  1 B 1.39
O2 0.2842 0.4931 0.9481  1 B 1.39
O3 0.4931 0.9481 0.2842  1 B 1.39
O4 0.5069 0.0519 0.7158  1 B 1.39
O5 0.7158 0.5069 0.0519  1 B 1.39
O6 0.9481 0.2842 0.4931  1 B 1.39


[4]
Rb2CdPd after structural relaxation, computed with GGA-PBE.

Calculated values
DFT formation energy = 380 meV/atom

a b c (Å): 6.8158 6.8158 19.4636
angles (deg): 90.00 90.00 90.00
Closest atoms and distances in Å follow each position.
Positions (direct):
Rb1 0.1755 0.2500 0.1250  2 Pd 3.20
Rb2 0.2500 0.6755 0.3750  2 Pd 3.20
Rb3 0.2500 0.8245 0.8750  2 Pd 3.20
Rb4 0.3245 0.2500 0.6250  2 Pd 3.20
Rb5 0.6755 0.7500 0.6250  2 Pd 3.20
Rb6 0.7500 0.1755 0.8750  2 Pd 3.20
Rb7 0.7500 0.3245 0.3750  2 Pd 3.20
Rb8 0.8245 0.7500 0.1250  2 Pd 3.20
Cd1 0.0000 0.0000 0.5000  4 Rb 3.70
Cd2 0.0000 0.5000 0.7500  4 Rb 3.70
Cd3 0.5000 0.0000 0.2500  4 Rb 3.70
Cd4 0.5000 0.5000 0.0000  4 Rb 3.70
Pd1 0.0000 0.0000 0.0000  4 Rb 3.20
Pd2 0.0000 0.5000 0.2500  4 Rb 3.20
Pd3 0.5000 0.0000 0.7500  4 Rb 3.20
Pd4 0.5000 0.5000 0.5000  4 Rb 3.20


[5]
Sr2TcAg after structural relaxation, computed with GGA-PBE.

Calculated values
Excess energy over the best structure of this formula in the dataset = 248.0 meV per atom
DFT formation energy = 696 meV/atom

a b c (Å): 7.1044 3.2355 9.5988
angles (deg): 90.00 96.27 90.00
Closest atoms and distances in Å follow each position.
Positions (direct):
Sr1 0.2424 0.0000 0.2320  3 Tc 3.03-3.12, 2 Sr 3.24, 1 Ag 3.25
Sr2 0.2576 0.5000 0.7680  3 Tc 3.03-3.12, 2 Sr 3.24, 1 Ag 3.25
Sr3 0.7424 0.5000 0.2320  3 Tc 3.03-3.12, 2 Sr 3.24, 1 Ag 3.25
Sr4 0.7576 0.0000 0.7680  3 Tc 3.03-3.12, 2 Sr 3.24, 1 Ag 3.25
Tc1 0.0000 0.5000 0.0000  6 Sr 3.03-3.12, 2 Tc 3.24
Tc2 0.5000 0.0000 0.0000  6 Sr 3.03-3.12, 2 Tc 3.24
Ag1 0.0000 0.0000 0.5000  2 Ag 3.24, 6 Sr 3.25-3.40
Ag2 0.5000 0.5000 0.5000  2 Ag 3.24, 6 Sr 3.25-3.40


[6]
ReMoAs2 after structural relaxation, computed with GGA-PBE.

Calculated values
Excess energy over the best structure of this formula in the dataset = 58.0 meV per atom
DFT formation energy = 102 meV/atom

a b c (Å): 2.9061 2.9061 30.9836
angles (deg): 90.00 90.00 120.00
Closest atoms and distances in Å follow each position.
Positions (direct):
Re1 0.0000 0.0000 0.0000  3 As 2.63, 3 Mo 2.75, 6 Re 2.91
Re2 0.3333 0.6667 0.6667  3 As 2.63, 3 Mo 2.75, 6 Re 2.91
Re3 0.6667 0.3333 0.3333  3 As 2.63, 3 Mo 2.75, 6 Re 2.91
Mo1 0.0000 0.0000 0.7368  3 As 2.70, 3 Re 2.75, 6 Mo 2.91
Mo2 0.3333 0.6667 0.4035  3 As 2.70, 3 Re 2.75, 6 Mo 2.91
Mo3 0.6667 0.3333 0.0702  3 As 2.70, 3 Re 2.75, 6 Mo 2.91
As1 0.0000 0.0000 0.2680  3 Re 2.63, 6 As 2.91
As2 0.0000 0.0000 0.4717  3 Mo 2.70, 6 As 2.91
As3 0.3333 0.6667 0.1384  3 Mo 2.70, 6 As 2.91
As4 0.3333 0.6667 0.9347  3 Re 2.63, 6 As 2.91
As5 0.6667 0.3333 0.6014  3 Re 2.63, 6 As 2.91
As6 0.6667 0.3333 0.8051  3 Mo 2.70, 6 As 2.91


[7]
SrAsI2N after structural relaxation, computed with GGA-PBE.

Calculated values
Excess energy over the best structure of this formula in the dataset = 916.2 meV per atom
Formation energy without anion corrections = 819 meV/atom

a b c (Å): 6.3274 6.3274 4.3847
angles (deg): 90.00 90.00 90.00
Closest atoms and distances in Å follow each position.
Positions (direct):
Sr1 0.0000 0.0000 0.0000  2 N 2.19
As1 0.5000 0.5000 0.5000  8 I 3.85
I1 0.0000 0.5000 0.0000  2 Sr 3.16
I2 0.5000 0.0000 0.0000  2 Sr 3.16
N1 0.0000 0.0000 0.5000  2 Sr 2.19


[8]
NdGaP2 after structural relaxation, computed with GGA-PBE.

Calculated values
DFT formation energy = 163 meV/atom

a b c (Å): 3.5256 3.5256 26.1570
angles (deg): 90.00 90.00 120.00
Closest atoms and distances in Å follow each position.
Positions (direct):
Nd1 0.0000 0.0000 0.0000  2 P 2.87
Nd2 0.3333 0.6667 0.6667  2 P 2.87
Nd3 0.6667 0.3333 0.3333  2 P 2.87
Ga1 0.0000 0.0000 0.5000  6 P 2.52
Ga2 0.3333 0.6667 0.1667  6 P 2.52
Ga3 0.6667 0.3333 0.8333  6 P 2.52
P1 0.0000 0.0000 0.1096  3 Ga 2.52
P2 0.0000 0.0000 0.8904  3 Ga 2.52
P3 0.3333 0.6667 0.5570  3 Ga 2.52
P4 0.3333 0.6667 0.7763  3 Ga 2.52
P5 0.6667 0.3333 0.2237  3 Ga 2.52
P6 0.6667 0.3333 0.4430  3 Ga 2.52


[9]
SrAl2S after structural relaxation, computed with GGA-PBE.

Calculated values
Formation energy without anion corrections = -287 meV/atom

a b c (Å): 8.2159 8.2159 5.8653
angles (deg): 90.00 90.00 90.00
Closest atoms and distances in Å follow each position.
Positions (direct):
Sr1 0.0000 0.0000 0.0000  2 S 2.93
Sr2 0.0000 0.5000 0.2500  2 S 2.93
Sr3 0.5000 0.0000 0.7500  2 S 2.93
Sr4 0.5000 0.5000 0.5000  2 S 2.93
Al1 0.1904 0.2500 0.6250  2 S 2.68
Al2 0.2500 0.6904 0.8750  2 S 2.68
Al3 0.2500 0.8096 0.3750  2 S 2.68
Al4 0.3096 0.2500 0.1250  2 S 2.68
Al5 0.6904 0.7500 0.1250  2 S 2.68
Al6 0.7500 0.1904 0.3750  2 S 2.68
Al7 0.7500 0.3096 0.8750  2 S 2.68
Al8 0.8096 0.7500 0.6250  2 S 2.68
S1 0.0000 0.0000 0.5000  4 Al 2.68, 2 Sr 2.93
S2 0.0000 0.5000 0.7500  4 Al 2.68, 2 Sr 2.93
S3 0.5000 0.0000 0.2500  4 Al 2.68, 2 Sr 2.93
S4 0.5000 0.5000 0.0000  4 Al 2.68, 2 Sr 2.93


[10]
V4CrRe3 after structural relaxation, computed with GGA-PBE.

Calculated values
Excess energy over the best structure of this formula in the dataset = 0.0 meV per atom
DFT formation energy = -303 meV/atom

a b c (Å): 3.0132 3.0132 12.0426
angles (deg): 90.00 90.00 90.00
Closest atoms and distances in Å follow each position.
Positions (direct):
V1 0.0000 0.0000 0.1188  4 Cr 2.57, 4 Re 2.62, 1 V 2.86
V2 0.0000 0.0000 0.3727  8 Re 2.62
V3 0.0000 0.0000 0.6273  8 Re 2.62
V4 0.0000 0.0000 0.8812  4 Cr 2.57, 4 Re 2.62, 1 V 2.86
Cr1 0.5000 0.5000 0.0000  8 V 2.57
Re1 0.5000 0.5000 0.2459  8 V 2.62
Re2 0.5000 0.5000 0.5000  8 V 2.62
Re3 0.5000 0.5000 0.7541  8 V 2.62


[11]
InCu4Tc after structural relaxation, computed with GGA-PBE.

Calculated values
DFT formation energy = 234 meV/atom

a b c (Å): 4.8896 4.8896 4.8896
angles (deg): 60.00 60.00 60.00
Closest atoms and distances in Å follow each position.
Positions (direct):
In1 0.0000 0.0000 0.0000  12 Cu 2.87, 4 Tc 2.99
Cu1 0.1267 0.6244 0.6244  6 Cu 2.43-2.46
Cu2 0.6244 0.1267 0.6244  6 Cu 2.43-2.46
Cu3 0.6244 0.6244 0.1267  6 Cu 2.43-2.46
Cu4 0.6244 0.6244 0.6244  6 Cu 2.43-2.46
Tc1 0.2500 0.2500 0.2500  12 Cu 2.87, 4 In 2.99


[12]
Cu3Rh2 after structural relaxation, computed with GGA-PBE.

Calculated values
Excess energy over the best structure of this formula in the dataset = 327.1 meV per atom
DFT formation energy = 362 meV/atom

a b c (Å): 4.1479 4.1479 5.0298
angles (deg): 90.00 90.00 120.00
Closest atoms and distances in Å follow each position.
Positions (direct):
Cu1 0.0000 0.0000 0.0000  6 Rh 2.49
Cu2 0.3333 0.6667 0.3727  5 Rh 2.46-2.67, 3 Cu 2.72
Cu3 0.6667 0.3333 0.6273  5 Rh 2.46-2.67, 3 Cu 2.72
Rh1 0.3333 0.6667 0.8613  8 Cu 2.46-2.67
Rh2 0.6667 0.3333 0.1387  8 Cu 2.46-2.67


Number 1: calculated total energy -5.110 eV/atom. Number 2: calculated total energy -5.072 eV/atom. Number 3: calculated total energy -7.431 eV/atom. Number 4: calculated total energy -1.631 eV/atom. Number 5: calculated total energy -3.449 eV/atom. Number 6: calculated total energy -8.043 eV/atom. Number 7: calculated total energy -2.732 eV/atom. Number 8: calculated total energy -4.490 eV/atom. Number 9: calculated total energy -3.611 eV/atom. Number 10: calculated total energy -10.733 eV/atom. Number 11: calculated total energy -4.681 eV/atom. Number 12: calculated total energy -5.036 eV/atom.